[1]
The following is a PBE-GGA calculation of a relaxed SrNiN3 crystal, from Alexandria via LeMat-Bulk.

CIF file:
```
data_SrNiN3
_chemical_formula_sum 'Sr1 Ni1 N3'
_cell_length_a 3.854
_cell_length_b 3.854
_cell_length_c 3.854
_cell_angle_alpha 90.00
_cell_angle_beta 90.00
_cell_angle_gamma 90.00
_symmetry_space_group_name_H-M 'P 1'
_symmetry_Int_Tables_number 1
loop_
_symmetry_equiv_pos_as_xyz
'x,y,z'
loop_
_atom_site_label
_atom_site_type_symbol
_atom_site_fract_x
_atom_site_fract_y
_atom_site_fract_z
Sr1 Sr 0.000 0.000 0.000
Ni1 Ni 0.500 0.500 0.500
N1 N 0.000 0.500 0.500
N2 N 0.500 0.000 0.500
N3 N 0.500 0.500 0.000
```

E_form (uncorrected): 19.0 kcal/mol of atoms
symmetry: Pm-3m, No. 221

[2]
The following is a PBE-GGA calculation of a relaxed Nd6Tl3Pd crystal, from Alexandria via LeMat-Bulk.

CIF file:
```
data_Nd6Tl3Pd
_chemical_formula_sum 'Nd12 Tl6 Pd2'
_cell_length_a 9.412
_cell_length_b 12.053
_cell_length_c 5.407
_cell_angle_alpha 90.00
_cell_angle_beta 90.00
_cell_angle_gamma 90.00
_symmetry_space_group_name_H-M 'P 1'
_symmetry_Int_Tables_number 1
loop_
_symmetry_equiv_pos_as_xyz
'x,y,z'
loop_
_atom_site_label
_atom_site_type_symbol
_atom_site_fract_x
_atom_site_fract_y
_atom_site_fract_z
Nd1 Nd 0.006 0.239 0.000
Nd2 Nd 0.159 0.083 0.500
Nd3 Nd 0.178 0.418 0.500
Nd4 Nd 0.322 0.918 0.000
Nd5 Nd 0.341 0.583 0.000
Nd6 Nd 0.494 0.739 0.500
Nd7 Nd 0.506 0.261 0.500
Nd8 Nd 0.659 0.417 0.000
Nd9 Nd 0.678 0.082 0.000
Nd10 Nd 0.822 0.582 0.500
Nd11 Nd 0.841 0.917 0.500
Nd12 Nd 0.994 0.761 0.000
Tl1 Tl 0.000 0.500 0.000
Tl2 Tl 0.162 0.742 0.500
Tl3 Tl 0.338 0.242 0.000
Tl4 Tl 0.500 0.000 0.500
Tl5 Tl 0.662 0.758 0.000
Tl6 Tl 0.838 0.258 0.500
Pd1 Pd 0.000 0.000 0.000
Pd2 Pd 0.500 0.500 0.500
```

calculated formation energy: -0.33 eV per atom
symmetry: Pnnm, No. 58

[3]
The following is a PBE-GGA calculation of a relaxed K2LiMnAs2 crystal, from Alexandria via LeMat-Bulk.

CIF file:
```
data_K2LiMnAs2
_chemical_formula_sum 'K4 Li2 Mn2 As4'
_cell_length_a 8.758
_cell_length_b 8.758
_cell_length_c 8.758
_cell_angle_alpha 137.05
_cell_angle_beta 62.14
_cell_angle_gamma 137.34
_symmetry_space_group_name_H-M 'P 1'
_symmetry_Int_Tables_number 1
loop_
_symmetry_equiv_pos_as_xyz
'x,y,z'
loop_
_atom_site_label
_atom_site_type_symbol
_atom_site_fract_x
_atom_site_fract_y
_atom_site_fract_z
K1 K 0.172 0.231 0.403
K2 K 0.328 0.731 0.059
K3 K 0.672 0.269 0.941
K4 K 0.828 0.769 0.597
Li1 Li 0.250 0.250 0.000
Li2 Li 0.750 0.750 0.000
Mn1 Mn 0.250 0.750 0.500
Mn2 Mn 0.750 0.250 0.500
As1 As 0.087 0.726 0.813
As2 As 0.413 0.226 0.639
As3 As 0.587 0.774 0.361
As4 As 0.913 0.274 0.187
```

calculated formation energy: -0.47 eV per atom
symmetry: Ibam, No. 72

[4]
The following is a PBE-GGA calculation of a relaxed CaPtW crystal, from Alexandria via LeMat-Bulk.

CIF file:
```
data_CaPtW
_chemical_formula_sum 'Ca4 Pt4 W4'
_cell_length_a 6.412
_cell_length_b 6.412
_cell_length_c 6.412
_cell_angle_alpha 90.00
_cell_angle_beta 90.00
_cell_angle_gamma 90.00
_symmetry_space_group_name_H-M 'P 1'
_symmetry_Int_Tables_number 1
loop_
_symmetry_equiv_pos_as_xyz
'x,y,z'
loop_
_atom_site_label
_atom_site_type_symbol
_atom_site_fract_x
_atom_site_fract_y
_atom_site_fract_z
Ca1 Ca 0.000 0.000 0.000
Ca2 Ca 0.000 0.500 0.500
Ca3 Ca 0.500 0.000 0.500
Ca4 Ca 0.500 0.500 0.000
Pt1 Pt 0.250 0.250 0.250
Pt2 Pt 0.250 0.750 0.750
Pt3 Pt 0.750 0.250 0.750
Pt4 Pt 0.750 0.750 0.250
W1 W 0.000 0.000 0.500
W2 W 0.000 0.500 0.000
W3 W 0.500 0.000 0.000
W4 W 0.500 0.500 0.500
```

calculated formation energy: 0.52 eV per atom
symmetry: F-43m, No. 216

no.,electronic total energy (eV for the cell shown),Fermi-level density of states (states/eV per cell)
1,-28.33,6.81
2,-88.35,20.63
3,-50.77,2.01
4,-77.73,6.11